# 1
A geometry-optimized GdYFe2Ge2C structure. Source: the Open Quantum Materials Database, functional PBE-GGA.

Unit cell a=10.7251 b=3.9880 c=6.8621 alpha=90.00 beta=128.66 gamma=90.00
With the nearest neighbours (Å) after each atom.
Space group Cm (No. 8)
One atom of each set of equivalent atoms:
1 Gd 0.0000 0.0000 0.0000 (multiplicity 2)  2 C 2.61
2 Y 0.1153 0.0000 0.5797 (multiplicity 2)  2 C 2.60
3 Fe 0.2535 0.5000 0.3796 (multiplicity 2)  1 C 1.78
4 Fe 0.3626 0.0000 0.2018 (multiplicity 2)  1 C 1.78
5 Ge 0.2220 0.5000 0.0028 (multiplicity 2)  3 Fe 2.35-2.39
6 Ge 0.3934 0.0000 0.5775 (multiplicity 2)  3 Fe 2.35-2.39
7 C 0.0583 0.5000 0.2918 (multiplicity 2)  2 Fe 1.78

Summary:
Mass density: 7.5 g cm⁻³
Raw total energy: -7.211 eV per atom

---

# 2
A geometry-optimized GdZrFe2Ge2C structure. Source: the Open Quantum Materials Database, functional PBE-GGA.

Unit cell a=10.5096 b=3.8649 c=6.7109 alpha=90.00 beta=127.63 gamma=90.00
With the nearest neighbours (Å) after each atom.
Space group Cm (No. 8)
One atom of each set of equivalent atoms:
1 Gd 0.0000 0.0000 0.0000 (multiplicity 2)  2 C 2.60, 1 Ge 2.91
2 Zr 0.1152 0.0000 0.5738 (multiplicity 2)  2 C 2.46
3 Fe 0.2563 0.5000 0.3770 (multiplicity 2)  1 C 1.78
4 Fe 0.3625 0.0000 0.2052 (multiplicity 2)  1 C 1.78
5 Ge 0.2174 0.5000 0.9838 (multiplicity 2)  3 Fe 2.35-2.41
6 Ge 0.3978 0.0000 0.5881 (multiplicity 2)  3 Fe 2.32-2.36
7 C 0.0634 0.5000 0.3072 (multiplicity 2)  2 Fe 1.78

Summary:
Mass density: 8.0 g cm⁻³
Raw total energy: -7.453 eV per atom

---

# 3
A geometry-optimized LaGdFe2Si2C structure. Source: the Open Quantum Materials Database, functional PBE-GGA.

Unit cell a=10.8183 b=3.9993 c=6.9891 alpha=90.00 beta=129.49 gamma=90.00
With the nearest neighbours (Å) after each atom.
Space group Cm (No. 8)
One atom of each set of equivalent atoms:
1 La 0.0000 0.0000 0.0000 (multiplicity 2)  2 C 2.71
2 Gd 0.1187 0.0000 0.5950 (multiplicity 2)  2 C 2.59
3 Fe 0.2600 0.5000 0.3931 (multiplicity 2)  1 C 1.80
4 Fe 0.3666 0.0000 0.2164 (multiplicity 2)  1 C 1.80
5 Si 0.2345 0.5000 0.0369 (multiplicity 2)  3 Fe 2.31-2.32
6 Si 0.3900 0.0000 0.5664 (multiplicity 2)  3 Fe 2.29-2.30
7 C 0.0662 0.5000 0.3153 (multiplicity 2)  2 Fe 1.80

Summary:
Mass density: 6.8 g cm⁻³
Raw total energy: -7.223 eV per atom

---

# 4
A geometry-optimized FeGe4H24C8S10N2 structure. Source: the Open Quantum Materials Database, functional PBE-GGA.

Unit cell a=9.5134 b=9.5134 c=14.3695 alpha=90.00 beta=90.00 gamma=90.00
With the nearest neighbours (Å) after each atom.
Space group I-4 (No. 82)
One atom of each set of equivalent atoms:
1 Fe 0.0000 0.0000 0.0000 (multiplicity 2)  4 S 2.29
2 Ge 0.0628 0.6801 0.1602 (multiplicity 8)  4 S 2.20-2.28
3 H 0.0146 0.1560 0.6025 (multiplicity 8)  1 C 1.09
4 H 0.0295 0.8459 0.3947 (multiplicity 8)  1 C 1.10
5 H 0.0578 0.2870 0.7343 (multiplicity 8)  1 C 1.10
6 H 0.0587 0.6431 0.6458 (multiplicity 8)  1 C 1.10
7 H 0.0957 0.6252 0.8535 (multiplicity 8)  1 C 1.10
8 H 0.1519 0.1627 0.5160 (multiplicity 8)  1 C 1.10
9 C 0.0338 0.3771 0.6894 (multiplicity 8)  3 H 1.10
10 C 0.0871 0.0942 0.5602 (multiplicity 8)  3 H 1.09-1.10
11 S 0.0000 0.5000 0.0653 (multiplicity 4)  2 Ge 2.27
12 S 0.1209 0.2513 0.2480 (multiplicity 8)  2 Ge 2.25-2.28
13 S 0.1446 0.1509 0.9205 (multiplicity 8)  1 Ge 2.20, 1 Fe 2.29
14 N 0.0000 0.0000 0.5000 (multiplicity 2)  4 C 1.50
15 N 0.0000 0.5000 0.7500 (multiplicity 2)  4 C 1.49

Summary:
Mass density: 2.1 g cm⁻³
Raw total energy: -5.110 eV per atom

---

# 5
A geometry-optimized Hf4FeGeC2 structure. Source: the Open Quantum Materials Database, functional PBE-GGA.

Unit cell a=3.2544 b=3.2544 c=13.4686 alpha=90.00 beta=90.00 gamma=120.00
With the nearest neighbours (Å) after each atom.
Space group P-6m2 (No. 187)
One atom of each set of equivalent atoms:
1 Hf 0.0000 0.0000 0.1446 (multiplicity 2)  3 C 2.34
2 Hf 0.3333 0.6667 0.3380 (multiplicity 2)  3 C 2.24
3 Fe 0.3333 0.6667 0.0000 (multiplicity 1)  6 Hf 2.71
4 Ge 0.0000 0.0000 0.5000 (multiplicity 1)  6 Hf 2.88
5 C 0.6667 0.3333 0.2477 (multiplicity 2)  6 Hf 2.24-2.34

Summary:
Mass density: 11.6 g cm⁻³
Raw total energy: -9.494 eV per atom

---

# 6
A geometry-optimized PrHoFe2Ge2C structure. Source: the Open Quantum Materials Database, functional PBE-GGA.

Unit cell a=10.8162 b=4.0235 c=6.9519 alpha=90.00 beta=128.89 gamma=90.00
With the nearest neighbours (Å) after each atom.
Space group Cm (No. 8)
One atom of each set of equivalent atoms:
1 Pr 0.0000 0.0000 0.0000 (multiplicity 2)  2 C 2.69
2 Ho 0.1143 0.0000 0.5810 (multiplicity 2)  2 C 2.58
3 Fe 0.2557 0.5000 0.3860 (multiplicity 2)  1 C 1.79
4 Fe 0.3670 0.0000 0.2113 (multiplicity 2)  1 C 1.78
5 Ge 0.2264 0.5000 0.0134 (multiplicity 2)  3 Fe 2.37-2.40
6 Ge 0.3921 0.0000 0.5749 (multiplicity 2)  3 Fe 2.35-2.37
7 C 0.0639 0.5000 0.3085 (multiplicity 2)  2 Fe 1.78-1.79

Summary:
Mass density: 8.1 g cm⁻³
Raw total energy: -6.911 eV per atom

---

# 7
A geometry-optimized TbHoFe2Ge2C structure. Source: the Open Quantum Materials Database, functional PBE-GGA.

Unit cell a=10.6661 b=3.9686 c=6.8104 alpha=90.00 beta=128.51 gamma=90.00
With the nearest neighbours (Å) after each atom.
Space group Cm (No. 8)
One atom of each set of equivalent atoms:
1 Tb 0.0000 0.0000 0.0000 (multiplicity 2)  2 C 2.60
2 Ho 0.1141 0.0000 0.5774 (multiplicity 2)  2 C 2.57
3 Fe 0.2539 0.5000 0.3799 (multiplicity 2)  1 C 1.78
4 Fe 0.3617 0.0000 0.2004 (multiplicity 2)  1 C 1.78
5 Ge 0.2208 0.5000 0.9997 (multiplicity 2)  3 Fe 2.35-2.38
6 Ge 0.3939 0.0000 0.5787 (multiplicity 2)  3 Fe 2.34-2.38
7 C 0.0584 0.5000 0.2921 (multiplicity 2)  2 Fe 1.78

Summary:
Mass density: 8.7 g cm⁻³
Raw total energy: -6.939 eV per atom

---

# 8
A geometry-optimized HoZrFe2Ge2C structure. Source: the Open Quantum Materials Database, functional PBE-GGA.

Unit cell a=10.4492 b=3.8442 c=6.6552 alpha=90.00 beta=127.43 gamma=90.00
With the nearest neighbours (Å) after each atom.
Space group Cm (No. 8)
One atom of each set of equivalent atoms:
1 Ho 0.0000 0.0000 0.0000 (multiplicity 2)  2 C 2.56
2 Zr 0.3845 0.5000 0.4266 (multiplicity 2)  2 C 2.46
3 Fe 0.1389 0.5000 0.7985 (multiplicity 2)  1 C 1.77
4 Fe 0.2440 0.0000 0.6241 (multiplicity 2)  1 C 1.77
5 Ge 0.1012 0.5000 0.4100 (multiplicity 2)  3 Fe 2.32-2.37
6 Ge 0.2836 0.0000 0.0193 (multiplicity 2)  3 Fe 2.33-2.40
7 C 0.4384 0.0000 0.6989 (multiplicity 2)  2 Fe 1.77

Summary:
Mass density: 8.2 g cm⁻³
Raw total energy: -7.453 eV per atom

---

# 9
A geometry-optimized LaLuFe2Ge2C structure. Source: the Open Quantum Materials Database, functional PBE-GGA.

Unit cell a=10.8633 b=4.0316 c=6.9735 alpha=90.00 beta=129.28 gamma=90.00
With the nearest neighbours (Å) after each atom.
Space group Cm (No. 8)
One atom of each set of equivalent atoms:
1 La 0.0000 0.0000 0.0000 (multiplicity 2)  2 C 2.72, 1 Ge 3.03
2 Lu 0.1125 0.0000 0.5768 (multiplicity 2)  2 C 2.55
3 Fe 0.2562 0.5000 0.3863 (multiplicity 2)  1 C 1.79
4 Fe 0.3682 0.0000 0.2127 (multiplicity 2)  1 C 1.79
5 Ge 0.2256 0.5000 0.0118 (multiplicity 2)  3 Fe 2.38-2.42
6 Ge 0.3932 0.0000 0.5746 (multiplicity 2)  3 Fe 2.35-2.36
7 C 0.0664 0.5000 0.3153 (multiplicity 2)  2 Fe 1.79

Summary:
Mass density: 8.2 g cm⁻³
Raw total energy: -6.904 eV per atom

---

# 10
A geometry-optimized LaPrFe2Ge2C structure. Source: the Open Quantum Materials Database, functional PBE-GGA.

Unit cell a=11.0468 b=4.0919 c=7.1391 alpha=90.00 beta=128.55 gamma=90.00
With the nearest neighbours (Å) after each atom.
Space group Cm (No. 8)
One atom of each set of equivalent atoms:
1 La 0.0000 0.0000 0.0000 (multiplicity 2)  2 C 2.73
2 Pr 0.1136 0.0000 0.5897 (multiplicity 2)  2 C 2.70
3 Fe 0.2467 0.5000 0.3765 (multiplicity 2)  1 C 1.80
4 Fe 0.3666 0.0000 0.2135 (multiplicity 2)  1 C 1.79
5 Ge 0.2338 0.5000 0.0302 (multiplicity 2)  3 Fe 2.38-2.39
6 Ge 0.3801 0.0000 0.5600 (multiplicity 2)  3 Fe 2.38
7 C 0.0572 0.5000 0.2977 (multiplicity 2)  2 Fe 1.79-1.80

Summary:
Mass density: 7.2 g cm⁻³
Raw total energy: -6.941 eV per atom

---

# 11
A geometry-optimized LaScFe2Ge2C structure. Source: the Open Quantum Materials Database, functional PBE-GGA.

Unit cell a=10.7983 b=3.9999 c=6.9183 alpha=90.00 beta=129.32 gamma=90.00
With the nearest neighbours (Å) after each atom.
Space group Cm (No. 8)
One atom of each set of equivalent atoms:
1 La 0.0000 0.0000 0.0000 (multiplicity 2)  2 C 2.72, 1 Ge 3.01
2 Sc 0.3885 0.5000 0.4289 (multiplicity 2)  2 C 2.49
3 Fe 0.1307 0.5000 0.7862 (multiplicity 2)  1 C 1.78
4 Fe 0.2415 0.0000 0.6122 (multiplicity 2)  1 C 1.79
5 Ge 0.1034 0.5000 0.4221 (multiplicity 2)  3 Fe 2.34
6 Ge 0.2756 0.0000 0.9932 (multiplicity 2)  3 Fe 2.38-2.42
7 C 0.4304 0.0000 0.6776 (multiplicity 2)  2 Fe 1.78-1.79

Summary:
Mass density: 6.5 g cm⁻³
Raw total energy: -7.123 eV per atom

---

# 12
A geometry-optimized LaTbFe2Ge2C structure. Source: the Open Quantum Materials Database, functional PBE-GGA.

Unit cell a=10.9328 b=4.0534 c=7.0465 alpha=90.00 beta=129.10 gamma=90.00
With the nearest neighbours (Å) after each atom.
Space group Cm (No. 8)
One atom of each set of equivalent atoms:
1 La 0.0000 0.0000 0.0000 (multiplicity 2)  2 C 2.73, 1 Ge 3.05
2 Tb 0.3874 0.5000 0.4191 (multiplicity 2)  2 C 2.60
3 Fe 0.1323 0.5000 0.7869 (multiplicity 2)  1 C 1.79
4 Fe 0.2473 0.0000 0.6164 (multiplicity 2)  1 C 1.79
5 Ge 0.1119 0.5000 0.4316 (multiplicity 2)  3 Fe 2.36-2.37
6 Ge 0.2709 0.0000 0.9797 (multiplicity 2)  3 Fe 2.38-2.41
7 C 0.4366 0.0000 0.6895 (multiplicity 2)  2 Fe 1.79

Summary:
Mass density: 7.8 g cm⁻³
Raw total energy: -6.942 eV per atom